Record 1
Here is a geometry-optimized Li2Mg8Ga structure from Alexandria. Energies are from PBE-GGA.

Cell lengths 8.327, 8.327, 6.316 Å; angles 97.68, 97.68, 32.21 degrees
Sites, in units of the cell vectors:
Li 0.139 0.139 0.174
Li 0.861 0.861 0.826
Mg 0.039 0.039 0.743
Mg 0.220 0.220 0.629
Mg 0.324 0.324 0.081
Mg 0.409 0.409 0.568
Mg 0.591 0.591 0.432
Mg 0.676 0.676 0.919
Mg 0.780 0.780 0.371
Mg 0.961 0.961 0.257
Ga 0.500 0.500 0.000

Properties
ΔE_f ... -0.7 eV per formula unit
Uncorrected energy ... -1.846 eV/atom
Excess energy over the best structure of this formula in the dataset ... 0.000 eV per atom
Calculated density ... 2.00 g/cm3

Record 2
Here is a geometry-optimized Tb2Pm2Nd structure from Alexandria. Energies are from PBE-GGA.

Cell lengths 3.630, 3.630, 14.720 Å; angles 90.00, 90.00, 120.00 degrees
Sites, in units of the cell vectors:
Tb 0.333 0.667 0.300
Tb 0.667 0.333 0.700
Pm 0.333 0.667 0.898
Pm 0.667 0.333 0.102
Nd 0.000 0.000 0.500

Properties
ΔE_f ... 0.1 eV per formula unit
Uncorrected energy ... -4.689 eV/atom
Excess energy over the best structure of this formula in the dataset ... 0.000 eV per atom
Calculated density ... 7.43 g/cm3

Record 3
Here is a geometry-optimized CuPt structure from Alexandria. Energies are from PBE-GGA.

Cell lengths 4.370, 4.370, 7.536 Å; angles 90.00, 90.00, 120.00 degrees
Sites, in units of the cell vectors:
Cu 0.333 0.667 0.088
Cu 0.333 0.667 0.412
Cu 0.667 0.333 0.588
Cu 0.667 0.333 0.912
Pt 0.000 0.000 0.250
Pt 0.000 0.000 0.750
Pt 0.333 0.667 0.750
Pt 0.667 0.333 0.250

Properties
ΔE_f ... 0.2 eV per formula unit
Uncorrected energy ... -4.966 eV/atom
Calculated density ... 13.78 g/cm3

Record 4
Here is a geometry-optimized SrSnTe3Au structure from Alexandria. Energies are from PBE-GGA.

Cell lengths 9.245, 4.463, 9.739 Å; angles 90.00, 102.86, 90.00 degrees
Sites, in units of the cell vectors:
Sr 0.169 0.250 0.226
Sr 0.831 0.750 0.774
Sn 0.342 0.750 0.866
Sn 0.658 0.250 0.134
Te 0.110 0.250 0.872
Te 0.258 0.750 0.532
Te 0.432 0.750 0.187
Te 0.568 0.250 0.813
Te 0.742 0.250 0.468
Te 0.890 0.750 0.128
Au 0.090 0.250 0.541
Au 0.910 0.750 0.459

Properties
ΔE_f (raw) ... -3.7 eV per formula unit
Uncorrected energy ... -3.688 eV/atom
Calculated density ... 6.66 g/cm3

> What is the calculated density in the second record?

7.43 g/cm3